# 1
# KSi2Pt (PBE, optimized geometry)
# DFT total energy in eV per atom: -3.936
# Energy relative to the elements, uncorrected in eV/atom: 0.560
# Crystal system: tetragonal
data_KSi2Pt
_cell_length_a 4.115
_cell_length_b 4.115
_cell_length_c 4.420
_cell_angle_alpha 90.00
_cell_angle_beta 90.00
_cell_angle_gamma 90.00
_space_group_name_H-M_alt 'P 4/m m m'
_space_group_IT_number 123
_space_group_name_Hall '-P 4 2'
loop_
_atom_site_label
_atom_site_fract_x
_atom_site_fract_y
_atom_site_fract_z
K1 0.000 0.000 0.000
Si1 0.000 0.500 0.500
Pt1 0.500 0.500 0.000

# 2
# CaMn2Rh2 (PBE, optimized geometry)
# DFT total energy in eV per atom: -6.823
# Distance to the lowest polymorph of the same formula in meV/atom: 135
# Crystal system: tetragonal
data_CaMn2Rh2
_cell_length_a 3.957
_cell_length_b 3.957
_cell_length_c 10.629
_cell_angle_alpha 90.00
_cell_angle_beta 90.00
_cell_angle_gamma 90.00
_space_group_name_H-M_alt 'I 4/m m m'
_space_group_IT_number 139
_space_group_name_Hall '-I 4 2'
loop_
_atom_site_label
_atom_site_fract_x
_atom_site_fract_y
_atom_site_fract_z
Ca1 0.000 0.000 0.000
Mn1 0.000 0.500 0.250
Rh1 0.000 0.000 0.381

# 3
# LiCrW2Au (PBE, optimized geometry)
# DFT total energy in eV per atom: -6.789
# Crystal system: tetragonal
data_LiCrW2Au
_cell_length_a 4.252
_cell_length_b 4.252
_cell_length_c 4.014
_cell_angle_alpha 90.00
_cell_angle_beta 90.00
_cell_angle_gamma 90.00
_space_group_name_H-M_alt 'P 4/m m m'
_space_group_IT_number 123
_space_group_name_Hall '-P 4 2'
loop_
_atom_site_label
_atom_site_fract_x
_atom_site_fract_y
_atom_site_fract_z
Li1 0.000 0.000 0.000
Cr1 0.000 0.000 0.500
W1 0.000 0.500 0.000
Au1 0.500 0.500 0.500

# 4
# KLaP2 (PBE, optimized geometry)
# DFT total energy in eV per atom: -4.552
# Distance to the lowest polymorph of the same formula in meV/atom: 527
# Crystal system: tetragonal
data_KLaP2
_cell_length_a 4.335
_cell_length_b 4.335
_cell_length_c 10.433
_cell_angle_alpha 90.00
_cell_angle_beta 90.00
_cell_angle_gamma 90.00
_space_group_name_H-M_alt 'I -4 m 2'
_space_group_IT_number 119
_space_group_name_Hall 'I -4 -2'
loop_
_atom_site_label
_atom_site_fract_x
_atom_site_fract_y
_atom_site_fract_z
K1 0.000 0.000 0.000
La1 0.000 0.500 0.750
P1 0.000 0.000 0.500
P2 0.000 0.500 0.250

# 5
# Ho7Er4Pu (PBE, optimized geometry)
# DFT total energy in eV per atom: -5.132
# Crystal system: monoclinic
data_Ho7Er4Pu
_cell_length_a 16.230
_cell_length_b 5.774
_cell_length_c 9.322
_cell_angle_alpha 90.00
_cell_angle_beta 120.66
_cell_angle_gamma 90.00
_space_group_name_H-M_alt 'C 1 2/m 1'
_space_group_IT_number 12
loop_
_space_group_symop_operation_xyz
'x,y,z'
'-x,-y,-z'
'-x,y,-z'
'x,-y,z'
'x+1/2,y+1/2,z'
'-x+1/2,-y+1/2,-z'
'-x+1/2,y+1/2,-z'
'x+1/2,-y+1/2,z'
loop_
_atom_site_label
_atom_site_fract_x
_atom_site_fract_y
_atom_site_fract_z
Ho1 0.000 0.000 0.000
Ho2 0.061 0.500 0.719
Ho3 0.167 0.500 0.341
Ho4 0.208 0.000 0.882
Er1 0.090 0.000 0.453
Er2 0.237 0.000 0.266
Pu1 0.000 0.500 0.000

# 6
# CsAl2TlSb (PBE, optimized geometry)
# DFT total energy in eV per atom: -1.549
# Energy relative to the elements, uncorrected in eV/atom: 1.416
# Crystal system: tetragonal
data_CsAl2TlSb
_cell_length_a 6.000
_cell_length_b 6.000
_cell_length_c 6.280
_cell_angle_alpha 90.00
_cell_angle_beta 90.00
_cell_angle_gamma 90.00
_space_group_name_H-M_alt 'P 4/m m m'
_space_group_IT_number 123
_space_group_name_Hall '-P 4 2'
loop_
_atom_site_label
_atom_site_fract_x
_atom_site_fract_y
_atom_site_fract_z
Cs1 0.000 0.000 0.000
Al1 0.000 0.500 0.000
Tl1 0.000 0.000 0.500
Sb1 0.500 0.500 0.500

# 7
# YV3Cu (PBE, optimized geometry)
# DFT total energy in eV per atom: -5.406
# Distance to the lowest polymorph of the same formula in meV/atom: 1247
# Crystal system: cubic
data_YV3Cu
_cell_length_a 4.679
_cell_length_b 4.679
_cell_length_c 4.679
_cell_angle_alpha 90.00
_cell_angle_beta 90.00
_cell_angle_gamma 90.00
_space_group_name_H-M_alt 'P m -3 m'
_space_group_IT_number 221
_space_group_name_Hall '-P 4 2 3'
loop_
_atom_site_label
_atom_site_fract_x
_atom_site_fract_y
_atom_site_fract_z
Y1 0.000 0.000 0.000
V1 0.000 0.000 0.500
Cu1 0.500 0.500 0.500

# 8
# TbHoSc4 (PBE, optimized geometry)
# DFT total energy in eV per atom: -5.720
# Distance to the lowest polymorph of the same formula in meV/atom: 0
# Crystal system: orthorhombic
data_TbHoSc4
_cell_length_a 3.377
_cell_length_b 17.466
_cell_length_c 10.846
_cell_angle_alpha 90.00
_cell_angle_beta 90.00
_cell_angle_gamma 90.00
_space_group_name_H-M_alt 'C m c 21'
_space_group_IT_number 36
loop_
_space_group_symop_operation_xyz
'x,y,z'
'-x,-y,z+1/2'
'-x,y,z'
'x,-y,z+1/2'
'x+1/2,y+1/2,z'
'-x+1/2,-y+1/2,z+1/2'
'-x+1/2,y+1/2,z'
'x+1/2,-y+1/2,z+1/2'
loop_
_atom_site_label
_atom_site_fract_x
_atom_site_fract_y
_atom_site_fract_z
Tb1 0.000 0.163 0.000
Ho1 0.000 0.280 0.757
Sc1 0.000 0.052 0.257
Sc2 0.000 0.163 0.510
Sc3 0.000 0.393 0.251
Sc4 0.000 0.497 0.006

# 9
# CdHg2H (PBE, optimized geometry)
# DFT total energy in eV per atom: -0.918
# Distance to the lowest polymorph of the same formula in meV/atom: 129
# Crystal system: tetragonal
data_CdHg2H
_cell_length_a 5.767
_cell_length_b 5.767
_cell_length_c 11.442
_cell_angle_alpha 90.00
_cell_angle_beta 90.00
_cell_angle_gamma 90.00
_space_group_name_H-M_alt 'I -4 2 d'
_space_group_IT_number 122
_space_group_name_Hall 'I -4 2bw'
loop_
_atom_site_label
_atom_site_fract_x
_atom_site_fract_y
_atom_site_fract_z
Cd1 0.000 0.000 0.000
Hg1 0.140 0.250 0.625
H1 0.000 0.000 0.500

# 10
# LiFe2Ru (PBE, optimized geometry)
# DFT total energy in eV per atom: -6.831
# Crystal system: orthorhombic
data_LiFe2Ru
_cell_length_a 2.785
_cell_length_b 4.323
_cell_length_c 8.661
_cell_angle_alpha 90.00
_cell_angle_beta 90.00
_cell_angle_gamma 90.00
_space_group_name_H-M_alt 'C m m 2'
_space_group_IT_number 35
loop_
_space_group_symop_operation_xyz
'x,y,z'
'-x,-y,z'
'-x,y,z'
'x,-y,z'
'x+1/2,y+1/2,z'
'-x+1/2,-y+1/2,z'
'-x+1/2,y+1/2,z'
'x+1/2,-y+1/2,z'
loop_
_atom_site_label
_atom_site_fract_x
_atom_site_fract_y
_atom_site_fract_z
Li1 0.000 0.000 0.000
Fe1 0.000 0.000 0.507
Fe2 0.000 0.500 0.737
Ru1 0.000 0.500 0.261

# 11
# ZrAlCu2 (PBE, optimized geometry)
# DFT total energy in eV per atom: -5.151
# Crystal system: orthorhombic
data_ZrAlCu2
_cell_length_a 4.649
_cell_length_b 3.998
_cell_length_c 7.178
_cell_angle_alpha 90.00
_cell_angle_beta 90.00
_cell_angle_gamma 90.00
_space_group_name_H-M_alt 'P m m a'
_space_group_IT_number 51
loop_
_space_group_symop_operation_xyz
'x,y,z'
'-x,-y,-z'
'-x+1/2,-y,z'
'x+1/2,y,-z'
'x+1/2,-y,-z'
'-x+1/2,y,z'
'-x,y,-z'
'x,-y,z'
loop_
_atom_site_label
_atom_site_fract_x
_atom_site_fract_y
_atom_site_fract_z
Zr1 0.250 0.000 0.136
Al1 0.250 0.500 0.785
Cu1 0.000 0.000 0.500
Cu2 0.250 0.500 0.398

# 12
# Li2Mg2Zn3 (PBE, optimized geometry)
# DFT total energy in eV per atom: -1.630
# Crystal system: monoclinic
data_Li2Mg2Zn3
_cell_length_a 4.790
_cell_length_b 10.339
_cell_length_c 4.936
_cell_angle_alpha 90.00
_cell_angle_beta 93.49
_cell_angle_gamma 90.00
_space_group_name_H-M_alt 'P 1 21/c 1'
_space_group_IT_number 14
loop_
_space_group_symop_operation_xyz
'x,y,z'
'-x,-y,-z'
'-x,y+1/2,-z+1/2'
'x,-y+1/2,z+1/2'
loop_
_atom_site_label
_atom_site_fract_x
_atom_site_fract_y
_atom_site_fract_z
Li1 0.098 0.184 0.322
Mg1 0.419 0.652 0.516
Zn1 0.059 0.054 0.772
Zn2 0.500 0.000 0.500

Question: The lowest DFT total energy belongs to which entry?
Answer: LiFe2Ru